An optimized crystal structure of ZrPa5Se6. Source: Alexandria via LeMat-Bulk, functional PBE.

```
ZrPa5Se6
1.0
3.4212 -6.3130 0.0000
3.4212 6.3130 0.0000
-2.5829 0.0000 6.4482
Zr Pa Se
1 5 6
direct
0.0000 0.0000 0.0000
0.1698 0.8302 0.5000
0.3329 0.6671 0.0000
0.5000 0.5000 0.5000
0.6671 0.3329 0.0000
0.8302 0.1698 0.5000
0.0812 0.4045 0.2428
0.2419 0.2419 0.7524
0.4045 0.0812 0.2428
0.5955 0.9188 0.7572
0.7581 0.7581 0.2476
0.9188 0.5955 0.7572
```

Magnetic moment: 1.82 μB/f.u.
Volume: 23.21 A^3/atom
Uncorrected formation energy: -1.186 eV per atom
ρ: 10.26 g/cm³


An optimized crystal structure of Zr3Tl2Co2. Source: Alexandria via LeMat-Bulk, functional PBE.

```
Zr3Tl2Co2
1.0
1.7857 -11.0162 0.0000
1.7857 11.0162 0.0000
0.0000 0.0000 3.4743
Zr Tl Co
3 2 2
direct
0.0000 0.0000 0.0000
0.1802 0.8198 0.0000
0.8198 0.1802 0.0000
0.4121 0.5879 0.5000
0.5879 0.4121 0.5000
0.2851 0.7149 0.5000
0.7149 0.2851 0.5000
```

Magnetic moment: 0.67 μB/f.u.
Volume: 19.53 A^3/atom
ρ: 9.72 g/cm³
ΔE_f: -0.181 eV/atom